1.
DFT (PBE-GGA) results for a relaxed structure of ZnCoSiAu.

Output
* E above lowest polymorph: 0.000 eV/atom
* theoretical density: 10.55 g/cm³

a b c (Å): 6.0358 6.0358 6.0358
angles (deg): 90.00 90.00 90.00
With the nearest neighbours (Å) after each atom.
Space group F-43m (No. 216)
Asymmetric unit:
Zn 0.0000 0.0000 0.0000 x4  4 Co 2.61, 4 Au 2.61
Co 0.2500 0.2500 0.7500 x4  4 Si 2.61, 4 Zn 2.61
Si 0.0000 0.0000 0.5000 x4  4 Co 2.61, 4 Au 2.61
Au 0.2500 0.2500 0.2500 x4  4 Si 2.61, 4 Zn 2.61

***

2.
DFT (PBE-GGA) results for a relaxed structure of ZrCoSiAu.

Output
* E above lowest polymorph: 0.034 eV/atom
* theoretical density: 9.94 g/cm³

a b c (Å): 6.3051 6.3051 6.3051
angles (deg): 90.00 90.00 90.00
With the nearest neighbours (Å) after each atom.
Space group F-43m (No. 216)
Asymmetric unit:
Zr 0.0000 0.0000 0.0000 x4  4 Si 2.73, 4 Co 2.73
Co 0.2500 0.2500 0.2500 x4  4 Zr 2.73, 4 Au 2.73
Si 0.2500 0.2500 0.7500 x4  4 Au 2.73, 4 Zr 2.73
Au 0.0000 0.0000 0.5000 x4  4 Co 2.73, 4 Si 2.73

***

3.
DFT (PBE-GGA) results for a relaxed structure of ZrCoSiAu.

Output
* E above lowest polymorph: 0.036 eV/atom
* theoretical density: 9.72 g/cm³

a b c (Å): 6.3539 6.3539 6.3539
angles (deg): 90.00 90.00 90.00
With the nearest neighbours (Å) after each atom.
Space group F-43m (No. 216)
Asymmetric unit:
Zr 0.0000 0.0000 0.0000 x4  4 Co 2.75, 4 Au 2.75
Co 0.2500 0.2500 0.7500 x4  4 Zr 2.75, 4 Si 2.75
Si 0.0000 0.0000 0.5000 x4  4 Au 2.75, 4 Co 2.75
Au 0.2500 0.2500 0.2500 x4  4 Zr 2.75, 4 Si 2.75

***

4.
DFT (PBE-GGA) results for a relaxed structure of ZrCoSiAu.

Output
* E above lowest polymorph: 0.000 eV/atom
* theoretical density: 9.66 g/cm³

a b c (Å): 6.3657 6.3657 6.3657
angles (deg): 90.00 90.00 90.00
With the nearest neighbours (Å) after each atom.
Space group F-43m (No. 216)
Asymmetric unit:
Zr 0.0000 0.0000 0.0000 x4  4 Si 2.76, 4 Au 2.76
Co 0.0000 0.0000 0.5000 x4  4 Au 2.76, 4 Si 2.76
Si 0.2500 0.2500 0.2500 x4  4 Co 2.76, 4 Zr 2.76
Au 0.2500 0.2500 0.7500 x4  4 Zr 2.76, 4 Co 2.76

***

5.
DFT (PBE-GGA) results for a relaxed structure of SmCoAu.

Output
* formation energy from the elements: 0.3534 eV/atom
* theoretical density: 9.26 g/cm³

a b c (Å): 6.6304 6.6304 6.6304
angles (deg): 90.00 90.00 90.00
With the nearest neighbours (Å) after each atom.
Space group F-43m (No. 216)
Asymmetric unit:
Sm 0.0000 0.0000 0.0000 x4  4 Au 2.87, 4 Co 2.87
Co 0.2500 0.2500 0.2500 x4  4 Sm 2.87
Au 0.2500 0.2500 0.7500 x4  4 Sm 2.87

***

6.
DFT (PBE-GGA) results for a relaxed structure of Co2SnAu.

Output
* final energy: -5.008 eV per atom
* theoretical density: 11.98 g/cm³

a b c (Å): 6.2175 6.2175 6.2175
angles (deg): 90.00 90.00 90.00
With the nearest neighbours (Å) after each atom.
Space group F-43m (No. 216)
Asymmetric unit:
Co 0.0000 0.0000 0.0000 x4  4 Co 2.69, 4 Au 2.69
Co 0.2500 0.2500 0.2500 x4  4 Sn 2.69, 4 Co 2.69
Sn 0.0000 0.0000 0.5000 x4  4 Co 2.69, 4 Au 2.69
Au 0.2500 0.2500 0.7500 x4  4 Sn 2.69, 4 Co 2.69